PBE-GGA Ti6GaC4, optimized geometry; density of states at the Fermi level = 8.79 states/eV per cell; total magnetic moment = 0.00 μB/f.u.; VASP energy = -8.700 eV/atom; formation energy = -765 meV/atom; SG = Cmcm (63)
1.0
-2.883 -0.137 1.204
-0.349 -1.799 -5.099
2.892 -15.260 5.185
Ti Ga C
12 2 8
Cartesian
-1.441 -0.069 0.602
0.004 -7.698 3.195
0.897 -5.511 1.520
-1.237 -11.684 -0.230
-0.643 -14.820 0.835
0.303 -2.375 0.455
-1.199 -7.541 0.332
0.859 -9.655 0.958
1.858 -14.925 2.748
-2.198 -2.270 -1.459
-0.563 -5.156 -1.933
0.222 -12.040 3.223
-1.289 -4.478 0.466
0.948 -12.717 0.824
-1.173 -9.658 0.153
-1.110 -3.381 -3.042
0.833 -7.537 1.137
0.770 -13.814 4.332
0.041 -16.067 2.330
-0.381 -1.129 -1.040
0.028 -9.897 3.001
-0.368 -7.299 -1.711